The following is a DFT calculation (PBE+U) of CsFeF5 after structural relaxation.

- energy (eV per cell) = -63.88
- space group = C2/c (15)

Structure (POSCAR):
```
CsFeF5
1.0
5.7344 -4.0557 0.0000
5.7344 4.0557 0.0000
-5.5202 0.0000 5.7425
Cs Fe F
2 2 10
Direct
0.0390 0.9610 0.7500
0.9610 0.0390 0.2500
0.5000 0.5000 0.0000
0.5000 0.5000 0.5000
0.2800 0.2820 0.2812
0.2811 0.7168 0.0463
0.2820 0.2800 0.7812
0.2832 0.7189 0.4537
0.4399 0.5601 0.7500
0.5601 0.4399 0.2500
0.7168 0.2811 0.5463
0.7180 0.7200 0.2188
0.7189 0.2832 0.9537
0.7200 0.7180 0.7188
```